Entry 1:
The following is a DFT calculation (GGA-PBE) of BeCo3Si2 after structural relaxation.

Output
Calculated volume ... 10.0 Å³/atom
Magnetic moment ... 0.202 μB/atom
Formation energy from raw total energies ... -0.4778 eV per atom

Cell lengths 2.735, 2.735, 8.048 Å; angles 90.00, 90.00, 90.00 degrees
Positions (direct):
Be (0.500, 0.500, 0.500)
Co (0.000, 0.000, 0.000)
Co (0.000, 0.000, 0.662)
Co (0.000, 0.000, 0.338)
Si (0.500, 0.500, 0.822)
Si (0.500, 0.500, 0.178)

***

Entry 2:
The following is a DFT calculation (GGA-PBE) of BeCoSi2 after structural relaxation.

Output
Calculated volume ... 10.8 Å³/atom
Magnetic moment ... 0.088 μB/atom
Formation energy from raw total energies ... -0.0211 eV per atom

Cell lengths 3.366, 2.645, 5.530 Å; angles 61.54, 90.00, 90.00 degrees
Positions (direct):
Be (0.500, 0.250, 0.250)
Si (0.000, 0.995, 0.004)
Si (0.000, 0.505, 0.496)
Co (0.500, 0.750, 0.750)

***

Entry 3:
The following is a DFT calculation (GGA-PBE) of BeCoSi2 after structural relaxation.

Output
Calculated volume ... 11.2 Å³/atom
Magnetic moment ... 0.000 μB/atom
Formation energy from raw total energies ... -0.0915 eV per atom

Cell lengths 3.150, 3.094, 4.609 Å; angles 90.00, 90.00, 90.00 degrees
Positions (direct):
Be (0.000, 0.000, 0.491)
Si (0.000, 0.000, 0.983)
Si (0.500, 0.500, 0.266)
Co (0.500, 0.500, 0.760)

***

Entry 4:
The following is a DFT calculation (GGA-PBE) of BeCoSi2 after structural relaxation.

Output
Calculated volume ... 11.4 Å³/atom
Magnetic moment ... 0.000 μB/atom
Formation energy from raw total energies ... -0.0585 eV per atom

Cell lengths 4.254, 4.171, 4.527 Å; angles 130.95, 131.32, 65.36 degrees
Positions (direct):
Be (0.472, 0.472, 0.945)
Si (0.998, 0.997, 0.996)
Si (0.729, 0.230, 0.459)
Co (0.301, 0.801, 0.600)

***

Entry 5:
The following is a DFT calculation (GGA-PBE) of Be3Co2Si after structural relaxation.

Output
Calculated volume ... 9.2 Å³/atom
Magnetic moment ... 0.001 μB/atom
Formation energy from raw total energies ... -0.2172 eV per atom

Cell lengths 3.540, 5.660, 6.805 Å; angles 119.54, 90.00, 108.22 degrees
Positions (direct):
Be (0.293, 0.586, 0.619)
Be (0.948, 0.897, 0.606)
Be (0.618, 0.236, 0.603)
Be (0.382, 0.764, 0.397)
Be (0.052, 0.103, 0.394)
Be (0.707, 0.414, 0.381)
Co (0.527, 0.054, 0.839)
Co (0.473, 0.946, 0.161)
Co (0.798, 0.595, 0.166)
Co (0.202, 0.405, 0.834)
Si (0.864, 0.728, 0.884)
Si (0.136, 0.272, 0.116)

***

Entry 6:
The following is a DFT calculation (GGA-PBE) of SrBeCoSi2 after structural relaxation.

Output
Calculated volume ... 17.1 Å³/atom
Magnetic moment ... 0.000 μB/atom
Formation energy from raw total energies ... -0.0540 eV per atom

Cell lengths 4.438, 4.338, 4.438 Å; angles 90.00, 90.00, 90.00 degrees
Positions (direct):
Sr (0.500, 0.500, 0.500)
Si (0.000, 0.000, 0.500)
Si (0.500, 0.000, 0.000)
Co (0.000, 0.000, 0.000)
Be (0.000, 0.500, 0.000)

***

Entry 7:
The following is a DFT calculation (GGA-PBE) of Sr2BeCoSi after structural relaxation.

Output
Calculated volume ... 27.2 Å³/atom
Magnetic moment ... 0.000 μB/atom
Formation energy from raw total energies ... 0.3172 eV per atom

Cell lengths 5.600, 4.342, 5.600 Å; angles 90.00, 90.00, 90.00 degrees
Positions (direct):
Sr (0.000, 0.000, 0.500)
Sr (0.500, 0.000, 0.000)
Si (0.000, 0.500, 0.000)
Co (0.000, 0.000, 0.000)
Be (0.500, 0.500, 0.500)

***

Entry 8:
The following is a DFT calculation (GGA-PBE) of TaBeCo4Si2 after structural relaxation.

Output
Calculated volume ... 11.2 Å³/atom
Magnetic moment ... 0.000 μB/atom
Formation energy from raw total energies ... -0.4691 eV per atom

Cell lengths 3.834, 3.834, 7.388 Å; angles 74.96, 74.96, 60.00 degrees
Positions (direct):
Ta (0.000, 0.000, 0.000)
Be (0.500, 0.500, 0.500)
Co (0.397, 0.397, 0.809)
Co (0.869, 0.869, 0.393)
Co (0.131, 0.131, 0.607)
Co (0.603, 0.603, 0.191)
Si (0.756, 0.756, 0.732)
Si (0.244, 0.244, 0.268)

***

Entry 9:
The following is a DFT calculation (GGA-PBE) of Ta2Be2Co5Si after structural relaxation.

Output
Calculated volume ... 11.2 Å³/atom
Magnetic moment ... 0.081 μB/atom
Formation energy from raw total energies ... -0.3931 eV per atom

Cell lengths 3.024, 8.606, 8.606 Å; angles 90.00, 90.00, 90.00 degrees
Positions (direct):
Ta (0.000, 0.676, 0.176)
Ta (0.000, 0.324, 0.824)
Ta (0.000, 0.176, 0.324)
Ta (0.000, 0.824, 0.676)
Be (0.000, 0.120, 0.620)
Be (0.000, 0.880, 0.380)
Be (0.000, 0.620, 0.880)
Be (0.000, 0.380, 0.120)
Co (0.500, 0.208, 0.065)
Co (0.500, 0.792, 0.935)
Co (0.500, 0.065, 0.792)
Co (0.500, 0.708, 0.435)
Co (0.500, 0.935, 0.208)
Co (0.500, 0.292, 0.565)
Co (0.500, 0.565, 0.708)
Co (0.500, 0.435, 0.292)
Co (0.500, 0.500, 0.000)
Co (0.500, 0.000, 0.500)
Si (0.000, 0.000, 0.000)
Si (0.000, 0.500, 0.500)

***

Entry 10:
The following is a DFT calculation (GGA-PBE) of Tb2BeCo6Si after structural relaxation.

Output
Calculated volume ... 14.2 Å³/atom
Magnetic moment ... 0.198 μB/atom
Formation energy from raw total energies ... -0.0653 eV per atom

Cell lengths 5.854, 5.854, 5.854 Å; angles 60.00, 60.00, 90.00 degrees
Positions (direct):
Tb (0.250, 0.750, 0.500)
Tb (0.750, 0.250, 0.500)
Be (0.500, 0.500, 0.000)
Co (0.260, 0.740, 0.000)
Co (0.740, 0.740, 0.000)
Co (0.260, 0.260, 0.480)
Co (0.740, 0.260, 0.000)
Co (0.260, 0.260, 0.000)
Co (0.740, 0.740, 0.520)
Si (0.000, 0.000, 0.000)

***

Entry 11:
The following is a DFT calculation (GGA-PBE) of Be2Co5SiTc2 after structural relaxation.

Output
Calculated volume ... 10.6 Å³/atom
Magnetic moment ... 0.285 μB/atom
Formation energy from raw total energies ... -0.1898 eV per atom

Cell lengths 2.710, 8.849, 8.849 Å; angles 90.00, 90.00, 90.00 degrees
Positions (direct):
Be (0.000, 0.127, 0.627)
Be (0.000, 0.873, 0.373)
Be (0.000, 0.627, 0.873)
Be (0.000, 0.373, 0.127)
Co (0.500, 0.202, 0.053)
Co (0.500, 0.798, 0.947)
Co (0.500, 0.053, 0.798)
Co (0.500, 0.702, 0.447)
Co (0.500, 0.947, 0.202)
Co (0.500, 0.298, 0.553)
Co (0.500, 0.553, 0.702)
Co (0.500, 0.447, 0.298)
Co (0.500, 0.500, 0.000)
Co (0.500, 0.000, 0.500)
Si (0.000, 0.000, 0.000)
Si (0.000, 0.500, 0.500)
Tc (0.000, 0.678, 0.178)
Tc (0.000, 0.322, 0.822)
Tc (0.000, 0.178, 0.322)
Tc (0.000, 0.822, 0.678)

***

Entry 12:
The following is a DFT calculation (GGA-PBE) of BeCoSiTc after structural relaxation.

Output
Calculated volume ... 11.1 Å³/atom
Magnetic moment ... 0.085 μB/atom
Formation energy from raw total energies ... -0.3788 eV per atom

Cell lengths 3.969, 3.969, 3.969 Å; angles 60.00, 60.00, 60.00 degrees
Positions (direct):
Be (0.250, 0.250, 0.250)
Si (0.750, 0.750, 0.750)
Co (0.000, 0.000, 0.000)
Tc (0.500, 0.500, 0.500)